## SnSeSN2 (PBEsol)

Data for an optimized crystal structure of SnSeSN2.

Geometry as POSCAR:
```
SnSeSN2
1.0
4.015 0.000 0.000
0.000 4.015 0.000
0.000 0.000 5.704
Sn Se S N
1 1 1 2
Cartesian
0.000 0.000 0.000
0.000 0.000 2.852
2.007 2.007 2.852
0.000 2.007 0.000
2.007 0.000 0.000
```

Results
The value obtained for the total energy is -22.47 eV per formula unit. The crystal system is tetragonal. For the uncorrected formation energy, the calculation gives 1.415 eV/atom. Its calculated density is 4.65 Mg/m³. As for the space-group type: No. 123. The magnetic moment is 3.06 μB/cell.